Entry 1:
4
Lattice="0.0000 3.4105 3.4105 3.4105 0.0000 3.4105 3.4105 3.4105 0.0000" Properties=species:S:1:pos:R:3 comment="LiInPtPb | the Open Quantum Materials Database | PBE | optimized geometry" final_energy_ev_per_atom=-3.921 space_group="F-43m (216)" pbc="T T T"
Pb 0.0000 0.0000 0.0000
In 3.4105 3.4105 3.4105
Li 5.1158 5.1158 5.1158
Pt 1.7053 1.7053 1.7053

***

Entry 2:
8
Lattice="3.1046 0.0000 0.0000 -1.5523 2.6886 0.0000 0.0000 0.0000 12.7555" Properties=species:S:1:pos:R:3 comment="Ta4FeSiN2 | the Open Quantum Materials Database | PBE | optimized geometry" final_energy_ev_per_atom=-10.217 space_group="P-6m2 (187)" pbc="T T T"
Fe 0.0000 1.7924 0.0000
N 0.0000 0.0000 9.6046
Ta 0.0000 1.7924 8.3362
Si 1.5523 0.8962 6.3778
N 0.0000 0.0000 3.1509
Ta 0.0000 1.7924 4.4193
Ta 1.5523 0.8962 1.9162
Ta 1.5523 0.8962 10.8393

***

Entry 3:
19
Lattice="7.9690 -2.2693 0.0000 7.9690 2.2693 0.0000 -5.6871 0.0000 17.4850" Properties=species:S:1:pos:R:3 comment="Cs2La4Cu4Te9 | the Open Quantum Materials Database | PBE | optimized geometry" final_energy_ev_per_atom=-4.456 space_group="C2/m (12)" pbc="T T T"
Te 7.6340 0.0000 7.4092
Te 12.1635 0.0000 1.8581
Cu -1.4975 0.0000 8.3085
La 2.1590 0.0000 0.9480
Cu -0.3112 0.0000 13.4432
Te 9.0224 0.0000 13.5397
La 2.0268 0.0000 6.9821
Te 12.2098 0.0000 6.5441
Te 2.6168 0.0000 10.0758
Cu 11.7483 0.0000 9.1766
Cs 4.0513 0.0000 13.4784
Te 1.2285 0.0000 3.9454
La 8.2240 0.0000 10.5029
Te 7.9690 0.0000 0.0000
La 8.0919 0.0000 16.5371
Te -1.9127 0.0000 15.6269
Te -1.9589 0.0000 10.9409
Cs 6.1995 0.0000 4.0066
Cu 10.5621 0.0000 4.0419

***

Entry 4:
4
Lattice="0.0000 3.2407 3.2407 3.2407 0.0000 3.2407 3.2407 3.2407 0.0000" Properties=species:S:1:pos:R:3 comment="NaYCoAs | the Open Quantum Materials Database | PBE | optimized geometry" final_energy_ev_per_atom=-5.041 space_group="F-43m (216)" pbc="T T T"
As 0.0000 0.0000 0.0000
Na 4.8610 4.8610 4.8610
Co 1.6203 1.6203 1.6203
Y 3.2407 3.2407 3.2407

***

Entry 5:
5
Lattice="-2.3072 2.5746 2.0457 -2.3239 -3.0249 1.2593 2.5759 -0.4883 3.4221" Properties=species:S:1:pos:R:3 comment="NbPbNO2 | the Open Quantum Materials Database | PBE | optimized geometry" final_energy_ev_per_atom=-7.795 space_group="Cm (8)" pbc="T T T"
N -0.2257 -0.7099 5.0602
Pb 2.5678 -0.4880 3.4200
O -0.3718 -1.8108 2.2979
Nb -1.2079 -0.4871 3.4945
O -0.3631 1.1101 2.7081

***

Entry 6:
3
Lattice="0.0000 2.8377 2.8377 2.8377 0.0000 2.8377 2.8377 2.8377 0.0000" Properties=species:S:1:pos:R:3 comment="BeTcOs | the Open Quantum Materials Database | PBE | optimized geometry" final_energy_ev_per_atom=-8.076 space_group="F-43m (216)" pbc="T T T"
Be 1.4189 1.4189 1.4189
Tc 4.2566 4.2566 4.2566
Os 0.0000 0.0000 0.0000

***

Entry 7:
6
Lattice="-1.7835 -1.9547 1.7226 3.1331 0.0347 0.3895 -0.7092 5.2617 5.2366" Properties=species:S:1:pos:R:3 comment="ThB4W | the Open Quantum Materials Database | PBE | optimized geometry" final_energy_ev_per_atom=-8.216 space_group="P6/mmm (191)" pbc="T T T"
B 1.3415 0.5047 1.9616
W 0.0000 0.0000 0.0000
B 0.9378 3.5001 4.9426
B -0.7011 2.8369 5.3870
Th -0.3546 2.6309 2.6183
B -0.2974 -0.1584 2.4060

***

Entry 8:
3
Lattice="0.0000 3.4540 3.4540 3.4540 0.0000 3.4540 3.4540 3.4540 0.0000" Properties=species:S:1:pos:R:3 comment="NaUGa | the Open Quantum Materials Database | PBE | optimized geometry" final_energy_ev_per_atom=-4.472 space_group="F-43m (216)" pbc="T T T"
Na 1.7270 1.7270 1.7270
U 5.1810 5.1810 5.1810
Ga 0.0000 0.0000 0.0000

***

Entry 9:
4
Lattice="0.0000 3.2570 3.2570 3.2570 0.0000 3.2570 3.2570 3.2570 0.0000" Properties=species:S:1:pos:R:3 comment="YZrFeSi | the Open Quantum Materials Database | PBE | optimized geometry" final_energy_ev_per_atom=-7.092 space_group="F-43m (216)" pbc="T T T"
Zr 3.2570 3.2570 3.2570
Si 0.0000 0.0000 0.0000
Fe 4.8854 4.8854 4.8854
Y 1.6285 1.6285 1.6285

***

Entry 10:
20
Lattice="4.8270 0.0000 0.0000 0.0000 2.7773 0.0000 -0.2272 0.0000 37.6316" Properties=species:S:1:pos:R:3 comment="ZnPt9 | the Open Quantum Materials Database | PBE | optimized geometry" space_group="P2_1/m (11)" formation_energy_ev_per_atom=0.052 pbc="T T T"
Pt 1.8850 0.6943 21.1304
Pt 0.2658 0.6943 23.4443
Pt 0.3022 0.6943 16.5024
Pt 4.3340 2.0830 14.1873
Pt 3.5065 0.6943 18.8138
Pt 2.7914 2.0830 9.4660
Pt 0.3368 0.6943 9.4827
Pt 2.7148 2.0830 16.5012
Pt 3.4697 0.6943 25.7705
Pt 1.0933 2.0830 18.8178
Zn 1.9604 0.6943 7.4642
Pt 1.9211 0.6943 14.1850
Pt 3.5410 0.6943 11.8594
Pt 1.8084 0.6943 28.1656
Zn 2.6394 2.0830 30.1674
Pt 1.1301 2.0830 11.8611
Pt 4.2630 2.0830 28.1489
Pt 2.6787 2.0830 23.4466
Pt 1.0588 2.0830 25.7722
Pt 4.2975 2.0830 21.1291

***

Entry 11:
24
Lattice="5.1801 -3.0024 0.0000 5.1801 3.0024 0.0000 -3.3196 0.0000 12.1913" Properties=species:S:1:pos:R:3 comment="Lu4Mo2As3N3 | the Open Quantum Materials Database | PBE | optimized geometry" final_energy_ev_per_atom=-7.599 space_group="C2/c (15)" pbc="T T T"
Lu 0.8727 0.5281 1.2398
Lu 6.1020 -0.4687 7.3357
Lu 7.7618 0.4687 1.2400
As 2.6905 -2.2608 9.1435
N 2.6236 1.5496 6.0906
As 5.8632 -0.3872 3.0659
Mo 4.4475 0.4311 1.0262
As 1.1775 0.3872 9.1253
Mo 4.2530 0.4311 5.0694
Mo 2.5932 -0.4311 11.1651
Lu -0.7211 -0.4687 10.9512
N 4.4171 -1.5496 6.1007
N 6.0769 1.5496 0.0050
As 4.3502 2.2608 3.0478
Lu 0.9387 0.4687 4.8556
Lu -0.7871 -0.5281 7.3354
Mo 2.7877 -0.4311 7.1219
N 0.9638 -1.5496 12.1862
As 2.8373 -0.3872 3.0297
N 0.9303 -1.5012 6.0956
Lu 6.1680 -0.5281 10.9515
Lu 7.8278 0.5281 4.8558
As 4.2034 0.3872 9.1616
N 2.5901 1.5012 0.0000

***

Entry 12:
40
Lattice="7.9030 0.0000 0.0000 0.0000 8.1013 0.0000 -7.8123 0.0000 7.9040" Properties=species:S:1:pos:R:3 comment="SmTaN2O | the Open Quantum Materials Database | PBE | optimized geometry" final_energy_ev_per_atom=-9.560 space_group="P2_1/c (14)" pbc="T T T"
N -1.9414 2.0301 2.4892
Sm -1.8770 4.0429 4.0061
N 5.9383 6.0807 1.4628
Ta 4.0361 6.0709 2.0124
O 2.0015 2.0277 1.3408
N -3.7246 8.0997 6.0560
Sm -1.9338 4.0429 7.8607
Sm -1.8815 8.0936 3.9953
O -0.5893 6.0545 3.9622
N 0.5140 6.1085 0.0063
Sm -1.9384 8.0935 7.8499
Sm 2.0246 4.0583 0.0433
N 0.1777 0.0013 2.1618
N 0.1816 4.0522 2.1040
Ta -0.0134 6.0774 1.9143
N -3.3922 6.0434 3.9583
O 3.3169 6.0973 0.0102
Sm 2.0291 0.0077 0.0541
Ta -3.9195 6.0745 5.8663
Sm 1.9678 4.0584 3.8979
O 1.9954 6.0783 2.6112
O 0.6800 2.0467 3.9418
O -1.9107 6.0736 6.5633
N 3.8153 0.0015 1.8480
N 2.0322 6.0712 5.4148
Ta 0.1300 6.0810 5.9644
N 3.4829 2.0579 3.9457
N -0.0908 4.0491 5.8000
O -1.9047 2.0229 5.2928
Ta -3.9454 2.0303 5.8916
N 3.8192 4.0519 1.7902
Ta -0.0392 2.0203 1.9396
N -3.7284 4.0493 6.1138
N -5.8475 2.0206 6.4412
O -3.2261 2.0039 7.8938
Ta 0.1042 2.0238 5.9898
N -0.4232 1.9927 7.8977
Ta 4.0103 2.0268 2.0377
Sm 1.9723 0.0077 3.9088
N -0.0869 8.1000 5.7422

***

What is the formula in the sixth record? BeTcOs